# Ca2ThTaN4 | the Alexandria database | PBE | optimized geometry
data_Ca2ThTaN4
_cell_length_a 3.409
_cell_length_b 5.986
_cell_length_c 5.975
_cell_angle_alpha 108.97
_cell_angle_beta 90.00
_cell_angle_gamma 90.00
_space_group_name_H-M_alt 'P 1'
_space_group_IT_number 1
_space_group_name_Hall 'P 1'
loop_
_atom_site_label
_atom_site_fract_x
_atom_site_fract_y
_atom_site_fract_z
N1 0.000 0.225 0.784
N2 0.500 0.782 0.786
N3 0.000 0.775 0.216
N4 0.500 0.218 0.214
Ca1 0.000 0.500 0.500
Ca2 0.500 0.000 0.500
Th1 0.500 0.500 0.000
Ta1 0.000 0.000 0.000
# Total magnetization, μB per cell: 0.00
# Raw formation energy, eV per atom: -1.249

---

# Ca3Th2TaN6 | the Alexandria database | PBE | optimized geometry
data_Ca3Th2TaN6
_cell_length_a 3.490
_cell_length_b 7.030
_cell_length_c 7.912
_cell_angle_alpha 102.21
_cell_angle_beta 102.74
_cell_angle_gamma 90.00
_space_group_name_H-M_alt 'P 1'
_space_group_IT_number 1
_space_group_name_Hall 'P 1'
loop_
_atom_site_label
_atom_site_fract_x
_atom_site_fract_y
_atom_site_fract_z
N1 0.359 0.931 0.719
N2 0.003 0.214 0.006
N3 0.329 0.430 0.659
N4 0.641 0.069 0.281
N5 0.997 0.786 0.994
N6 0.671 0.570 0.341
Th1 0.837 0.678 0.675
Th2 0.163 0.322 0.325
Ta1 0.500 0.000 0.000
Ca1 0.845 0.172 0.690
Ca2 0.500 0.500 0.000
Ca3 0.155 0.828 0.310
# Total magnetization, μB per cell: 0.00
# Raw formation energy, eV per atom: -1.298